Entry 1:
MnTcNiPd: relaxed, PBE.

Properties
DFT total energy = -7.518 eV/atom
space group = F-43m, No. 216

abc: 4.237 4.237 4.237
angles: 60.00 60.00 60.00
Site moments in Bohr magnetons follow the coordinates.
Element x y z (fractional)
Ni 0.500 0.500 0.500  -0.58
Mn 0.000 0.000 0.000  2.82
Tc 0.750 0.750 0.750  -1.08
Pd 0.250 0.250 0.250  0.10

---

Entry 2:
TiMnNiPd: relaxed, PBE.

Properties
DFT total energy = -7.264 eV/atom
space group = F-43m, No. 216

abc: 4.327 4.327 4.327
angles: 60.00 60.00 60.00
Site moments in Bohr magnetons follow the coordinates.
Element x y z (fractional)
Ni 0.500 0.500 0.500  0.28
Mn 0.750 0.750 0.750  3.69
Pd 0.000 0.000 0.000  0.14
Ti 0.250 0.250 0.250  -0.10

---

Entry 3:
MnTlNiPd: relaxed, PBE.

Properties
DFT total energy = -5.579 eV/atom
space group = F-43m, No. 216

abc: 4.482 4.482 4.482
angles: 60.00 60.00 60.00
Site moments in Bohr magnetons follow the coordinates.
Element x y z (fractional)
Ni 0.750 0.750 0.750  0.21
Tl 0.500 0.500 0.500  -0.04
Mn 0.000 0.000 0.000  3.82
Pd 0.250 0.250 0.250  0.09

---

Entry 4:
TmMnNiPd: relaxed, PBE.

Properties
DFT total energy = -6.504 eV/atom
space group = F-43m, No. 216

abc: 4.569 4.569 4.569
angles: 60.00 60.00 60.00
Site moments in Bohr magnetons follow the coordinates.
Element x y z (fractional)
Ni 0.250 0.250 0.250  0.34
Tm 0.000 0.000 0.000  -0.06
Pd 0.750 0.750 0.750  0.13
Mn 0.500 0.500 0.500  3.88